Computed, not measured: a relaxed structure of NdSm6Tl6 at the PBE-GGA level of DFT.

```
data_NdSm6Tl6
_space_group_name_H-M_alt 'P 6/m m m'
_space_group_IT_number 191
_space_group_name_Hall '-P 6 2'
_cell_length_a 6.5031
_cell_length_b 6.5031
_cell_length_c 10.8551
_cell_angle_alpha 90.00
_cell_angle_beta 90.00
_cell_angle_gamma 120.00
loop_
_atom_site_label
_atom_site_type_symbol
_atom_site_fract_x
_atom_site_fract_y
_atom_site_fract_z
Nd1 Nd 0.0000 0.0000 0.0000
Sm1 Sm 0.0000 0.0000 0.3353
Sm2 Sm 0.3333 0.6667 0.0000
Sm3 Sm 0.3333 0.6667 0.5000
Tl1 Tl 0.0000 0.5000 0.2460
```

Calculated values
**DFT total energy**: -3.8592 eV per atom
**Crystal system**: hexagonal
**DFT formation energy**: -0.222 eV per atom